The following is a DFT calculation (PBE-GGA) of a relaxed ZrAlGaCu crystal.

## Properties
The calculation puts the raw total energy at -21.15 eV per cell. The calculated volume is 16.4 Å³/atom. As for the space-group type: Pmmm. As for the formation energy from the elements: -0.4341 eV per atom.

Cell lengths 4.0131, 3.9944, 4.0996 Å; angles 90.00, 90.00, 90.00 degrees
Sites, in units of the cell vectors:
Al: 0.5000 0.5000 0.0000
Cu: 0.0000 0.0000 0.0000
Zr: 0.5000 0.0000 0.5000
Ga: 0.0000 0.5000 0.5000